Entry 1:
{"formula": "NbCu2Pd7", "functional": "PBE", "state": "relaxed", "lattice": [[4.029, 0.000, 0.000], [0.000, 7.375, -0.233], [0.000, -3.536, 6.477]], "species": ["Pd", "Pd", "Pd", "Pd", "Pd", "Pd", "Pd", "Cu", "Cu", "Nb"], "fractional_positions": [[0.500, 0.706, 0.921], [0.500, 0.294, 0.079], [0.500, 0.921, 0.706], [0.500, 0.500, 0.500], [0.000, 0.797, 0.203], [0.500, 0.079, 0.294], [0.000, 0.203, 0.797], [0.500, 0.307, 0.693], [0.500, 0.693, 0.307], [0.000, 0.000, 0.000]], "formation_energy_ev_per_atom": 0.295, "final_energy_ev_per_atom": -5.17}



Entry 2:
{"formula": "NbCuPd3", "functional": "PBE", "state": "relaxed", "lattice": [[-3.956, -2.088, -2.510], [4.650, 2.603, -2.393], [0.858, -7.139, 1.034]], "species": ["Pd", "Pd", "Pd", "Pd", "Pd", "Pd", "Nb", "Nb", "Cu", "Cu"], "fractional_positions": [[0.500, 0.000, 0.000], [0.593, 0.863, 0.328], [0.407, 0.137, 0.672], [0.907, 0.465, 0.328], [0.093, 0.535, 0.672], [0.000, 0.000, 0.000], [0.750, 0.821, 0.641], [0.250, 0.179, 0.359], [0.250, 0.478, 0.957], [0.750, 0.522, 0.043]], "de_polymorph_ev_per_atom": 0.041, "formation_energy_ev_per_atom": 0.003, "final_energy_ev_per_atom": -5.95}



Entry 3:
{"formula": "NbCu4Pd", "functional": "PBE", "state": "relaxed", "lattice": [[4.838, 0.000, 0.000], [2.419, 4.190, 0.000], [2.419, 1.397, 3.950]], "species": ["Pd", "Cu", "Cu", "Cu", "Cu", "Nb"], "fractional_positions": [[0.000, 0.000, 0.000], [0.124, 0.625, 0.625], [0.625, 0.625, 0.124], [0.625, 0.625, 0.625], [0.625, 0.124, 0.625], [0.250, 0.250, 0.250]], "formation_energy_ev_per_atom": -0.084, "final_energy_ev_per_atom": -5.36}



Entry 4:
{"formula": "NbCuPd2", "functional": "PBE", "state": "relaxed", "lattice": [[2.839, 0.000, 0.000], [-1.420, 2.432, -0.354], [0.000, -0.328, 8.987]], "species": ["Nb", "Pd", "Pd", "Cu"], "fractional_positions": [[0.500, 0.000, 0.000], [0.253, 0.506, 0.260], [0.747, 0.494, 0.740], [0.000, 0.000, 0.500]], "formation_energy_ev_per_atom": -0.138, "final_energy_ev_per_atom": -6.28}



Entry 5:
{"formula": "NbCu2Pd", "functional": "PBE", "state": "relaxed", "lattice": [[-5.992, 3.507, 0.502], [-3.455, -5.567, -2.350], [-5.015, -1.878, 1.515]], "species": ["Pd", "Pd", "Cu", "Cu", "Cu", "Cu", "Nb", "Nb"], "fractional_positions": [[0.000, 0.000, 0.000], [0.750, 0.250, 0.500], [0.875, 0.881, 0.750], [0.119, 0.625, 0.250], [0.375, 0.369, 0.750], [0.631, 0.125, 0.250], [0.500, 0.500, 0.000], [0.250, 0.750, 0.500]], "de_polymorph_ev_per_atom": 0.476, "formation_energy_ev_per_atom": 0.435, "final_energy_ev_per_atom": -5.43}



Entry 6:
{"formula": "NbCu2Pd6", "functional": "PBE", "state": "relaxed", "lattice": [[4.797, -0.111, -0.108], [1.187, 7.620, 0.916], [1.187, 1.162, 7.586]], "species": ["Pd", "Pd", "Pd", "Pd", "Pd", "Pd", "Pd", "Pd", "Pd", "Pd", "Pd", "Pd", "Cu", "Cu", "Cu", "Cu", "Nb", "Nb"], "fractional_positions": [[0.652, 0.098, 0.353], [0.526, 0.321, 0.573], [0.474, 0.679, 0.427], [0.305, 0.767, 0.009], [0.026, 0.573, 0.321], [0.348, 0.902, 0.647], [0.805, 0.009, 0.767], [0.974, 0.427, 0.679], [0.152, 0.353, 0.098], [0.848, 0.647, 0.902], [0.695, 0.233, 0.991], [0.195, 0.991, 0.233], [0.088, 0.210, 0.457], [0.912, 0.790, 0.543], [0.412, 0.543, 0.790], [0.588, 0.457, 0.210], [0.750, 0.866, 0.134], [0.250, 0.134, 0.866]], "formation_energy_ev_per_atom": -0.164, "final_energy_ev_per_atom": -5.65}